# 1
The following is a PBE-GGA calculation of a geometry-optimized Er8TlTe2 structure, from the Alexandria database.

Lattice parameters (Å, degrees): 5.843 8.047 8.047 116.38 97.95 97.95
Positions (direct):
Er (0.699, 0.398, 0.398)
Er (0.301, 0.602, 0.602)
Er (0.500, 0.759, 0.241)
Er (0.139, 0.086, 0.318)
Er (0.861, 0.682, 0.914)
Er (0.861, 0.914, 0.682)
Er (0.139, 0.318, 0.086)
Er (0.500, 0.241, 0.759)
Tl (0.500, 0.000, 0.000)
Te (0.000, 0.695, 0.305)
Te (0.000, 0.305, 0.695)

Properties
Magnetic moment in μB per atom: 0.0000
Calculated total energy in eV per atom: -4.462

***

# 2
The following is a PBE-GGA calculation of a geometry-optimized HoAg2AsS4 structure, from the Alexandria database.

Lattice parameters (Å, degrees): 7.747 7.747 7.868 120.48 120.48 90.54
Positions (direct):
S (0.752, 0.748, 0.516)
S (0.752, 0.748, 0.984)
S (0.765, 0.241, 0.003)
S (0.248, 0.252, 0.016)
S (0.235, 0.759, 0.997)
S (0.248, 0.252, 0.484)
S (0.741, 0.265, 0.503)
S (0.259, 0.735, 0.497)
Ag (0.500, 0.500, 0.000)
Ag (0.500, 0.000, 0.500)
Ag (0.000, 0.000, 0.500)
Ag (0.500, 0.000, 0.000)
As (0.500, 0.500, 0.500)
As (0.000, 0.000, 0.000)
Ho (0.000, 0.500, 0.000)
Ho (0.000, 0.500, 0.500)

Properties
Magnetic moment in μB per atom: 0.0000
Calculated total energy in eV per atom: -4.568

***

# 3
The following is a PBE-GGA calculation of a geometry-optimized MgAlIn structure, from the Alexandria database.

Lattice parameters (Å, degrees): 4.938 4.938 3.087 90.00 90.00 120.00
Positions (direct):
In (0.667, 0.333, 0.167)
Al (0.000, 0.000, 0.167)
Mg (0.333, 0.667, 0.667)

Properties
Magnetic moment in μB per atom: 0.0000
Calculated total energy in eV per atom: -2.638
ΔE_f in eV/atom: 0.05

***

# 4
The following is a PBE-GGA calculation of a geometry-optimized Ag2Br structure, from the Alexandria database.

Lattice parameters (Å, degrees): 3.561 9.105 4.327 90.00 90.00 90.00
Positions (direct):
Ag (0.500, 0.708, 0.000)
Ag (0.500, 0.292, 0.000)
Ag (0.000, 0.208, 0.500)
Ag (0.000, 0.792, 0.500)
Br (0.500, 0.500, 0.500)
Br (0.000, 0.000, 0.000)

Properties
Magnetic moment in μB per atom: 0.0000
Calculated total energy in eV per atom: -2.333
Relative energy among the computed polymorphs in meV/atom: 284